FeAuIO2 (PBE with a Hubbard U, relaxed); E above lowest polymorph = 3.53 eV/f.u.; total magnetization = 4.8 μB/f.u.
1.0
-1.426 3.714 0.384
-3.654 -1.303 -0.965
-1.377 -1.241 6.891
I O Fe Au
1 2 1 1
direct
0.000 0.000 0.500 I
0.500 0.000 0.000 O
0.000 0.500 0.000 O
0.500 0.500 0.500 Fe
0.000 0.000 0.000 Au